1.
# SrCrPt

A relaxed SrCrPt crystal (PBE-GGA, Alexandria via LeMat-Bulk).

Space-group type: F-43m, No. 216
D(E_F): 0.78 states/eV per atom
ΔH_f (0 K): 0.726 eV per atom
Distance to the lowest polymorph of the same formula: 914 meV/atom

abc: 4.891 4.891 4.891
angles: 60.00 60.00 60.00
Fractional positions:
Cr 0.000 0.000 0.000
Pt 0.500 0.500 0.500
Sr 0.750 0.750 0.750


2.
# SrCrPt

A relaxed SrCrPt crystal (PBE-GGA, Alexandria via LeMat-Bulk).

Space-group type: P1, No. 1
D(E_F): 0.52 states/eV per atom
ΔH_f (0 K): 0.028 eV per atom
Distance to the lowest polymorph of the same formula: 215 meV/atom

abc: 4.236 5.061 7.341
angles: 73.45 106.74 90.00
Fractional positions:
Sr 0.822 0.946 0.353
Sr 0.609 0.706 0.928
Pt 0.136 0.210 0.981
Pt 0.287 0.440 0.283
Cr 0.254 0.325 0.645
Cr 0.683 0.325 0.645


3.
# Sr2CrPt

A relaxed Sr2CrPt crystal (PBE-GGA, Alexandria via LeMat-Bulk).

Space-group type: I-42d, No. 122
D(E_F): 0.64 states/eV per atom
ΔH_f (0 K): 0.238 eV per atom
Distance to the lowest polymorph of the same formula: 459 meV/atom

abc: 8.743 8.743 6.963
angles: 51.11 51.11 90.00
Fractional positions:
Sr 0.678 0.125 0.250
Sr 0.072 0.625 0.250
Sr 0.375 0.322 0.750
Sr 0.875 0.928 0.750
Pt 0.000 0.000 0.000
Pt 0.750 0.250 0.500
Cr 0.500 0.500 0.000
Cr 0.250 0.750 0.500


4.
# Sr2CrPt

A relaxed Sr2CrPt crystal (PBE-GGA, Alexandria via LeMat-Bulk).

Space-group type: Imm2, No. 44
D(E_F): 0.84 states/eV per atom
ΔH_f (0 K): -0.028 eV per atom
Distance to the lowest polymorph of the same formula: 192 meV/atom

abc: 6.631 6.631 5.176
angles: 66.98 66.98 33.75
Fractional positions:
Cr 0.566 0.566 0.434
Pt 0.218 0.218 0.283
Sr 0.961 0.961 0.039
Sr 0.755 0.755 0.745


5.
# SrCrPt

A relaxed SrCrPt crystal (PBE-GGA, Alexandria via LeMat-Bulk).

Space-group type: Pnma, No. 62
D(E_F): 0.67 states/eV per atom
ΔH_f (0 K): -0.187 eV per atom
Distance to the lowest polymorph of the same formula: 0 meV/atom

abc: 7.610 4.417 8.209
angles: 90.00 90.00 90.00
Fractional positions:
Sr 0.982 0.250 0.820
Sr 0.518 0.750 0.320
Sr 0.018 0.750 0.180
Sr 0.482 0.250 0.680
Pt 0.213 0.250 0.386
Pt 0.287 0.750 0.886
Pt 0.787 0.750 0.614
Pt 0.713 0.250 0.114
Cr 0.854 0.250 0.435
Cr 0.646 0.750 0.935
Cr 0.146 0.750 0.565
Cr 0.354 0.250 0.065


6.
# SrCrPt

A relaxed SrCrPt crystal (PBE-GGA, Alexandria via LeMat-Bulk).

Space-group type: I4mm, No. 107
D(E_F): 0.74 states/eV per atom
ΔH_f (0 K): -0.006 eV per atom
Distance to the lowest polymorph of the same formula: 181 meV/atom

abc: 6.055 6.055 6.055
angles: 145.86 145.77 49.12
Fractional positions:
Cr 0.951 0.951 0.000
Pt 0.377 0.377 0.000
Sr 0.672 0.672 0.000


7.
# SrCrPt

A relaxed SrCrPt crystal (PBE-GGA, Alexandria via LeMat-Bulk).

Space-group type: P6_3/mmc, No. 194
D(E_F): 1.15 states/eV per atom
ΔH_f (0 K): 0.055 eV per atom
Distance to the lowest polymorph of the same formula: 243 meV/atom

abc: 4.105 4.105 9.859
angles: 90.00 90.00 120.00
Fractional positions:
Sr 0.000 0.000 0.000
Sr 0.000 0.000 0.500
Pt 0.333 0.667 0.750
Pt 0.667 0.333 0.250
Cr 0.333 0.667 0.250
Cr 0.667 0.333 0.750


8.
# SrCrPt

A relaxed SrCrPt crystal (PBE-GGA, Alexandria via LeMat-Bulk).

Space-group type: P1, No. 1
D(E_F): 1.17 states/eV per atom
ΔH_f (0 K): -0.128 eV per atom
Distance to the lowest polymorph of the same formula: 60 meV/atom

abc: 10.918 4.044 4.045
angles: 120.03 100.54 79.57
Fractional positions:
Sr 0.101 0.214 0.020
Sr 0.479 0.414 0.813
Pt 0.918 0.606 0.626
Pt 0.662 0.688 0.541
Cr 0.790 0.980 0.250
Cr 0.790 0.314 0.917


9.
# Sr2CrPt2

A relaxed Sr2CrPt2 crystal (PBE-GGA, Alexandria via LeMat-Bulk).

Space-group type: P4/mbm, No. 127
D(E_F): 1.59 states/eV per atom
ΔH_f (0 K): -0.128 eV per atom

abc: 6.754 6.754 4.960
angles: 90.00 90.00 90.00
Fractional positions:
Sr 0.175 0.675 0.500
Sr 0.675 0.825 0.500
Sr 0.825 0.325 0.500
Sr 0.325 0.175 0.500
Pt 0.355 0.855 0.000
Pt 0.855 0.645 0.000
Pt 0.645 0.145 0.000
Pt 0.145 0.355 0.000
Cr 0.000 0.000 0.000
Cr 0.500 0.500 0.000


10.
# Sr2CrPt

A relaxed Sr2CrPt crystal (PBE-GGA, Alexandria via LeMat-Bulk).

Space-group type: Fm-3m, No. 225
D(E_F): 0.80 states/eV per atom
ΔH_f (0 K): 0.039 eV per atom
Distance to the lowest polymorph of the same formula: 259 meV/atom

abc: 5.383 5.383 5.383
angles: 60.00 60.00 60.00
Fractional positions:
Sr 0.250 0.250 0.250
Sr 0.750 0.750 0.750
Pt 0.500 0.500 0.500
Cr 0.000 0.000 0.000


11.
# SrTlCr2Pt

A relaxed SrTlCr2Pt crystal (PBE-GGA, Alexandria via LeMat-Bulk).

Space-group type: P4/mmm, No. 123
D(E_F): 0.56 states/eV per atom
ΔH_f (0 K): 0.789 eV per atom

abc: 5.214 5.234 5.214
angles: 90.00 90.00 90.00
Fractional positions:
Sr 0.500 0.500 0.500
Tl 0.000 0.000 0.000
Pt 0.000 0.500 0.000
Cr 0.000 0.000 0.500
Cr 0.500 0.000 0.000


12.
# SrV2CrPt

A relaxed SrV2CrPt crystal (PBE-GGA, Alexandria via LeMat-Bulk).

Space-group type: P4/mmm, No. 123
D(E_F): 1.31 states/eV per atom
ΔH_f (0 K): 0.965 eV per atom

abc: 4.382 5.457 4.382
angles: 90.00 90.00 90.00
Fractional positions:
Sr 0.000 0.500 0.000
V 0.000 0.000 0.500
V 0.500 0.000 0.000
Pt 0.500 0.500 0.500
Cr 0.000 0.000 0.000


13.
# TaCrPt

A relaxed TaCrPt crystal (PBE-GGA, Alexandria via LeMat-Bulk).

Space-group type: C2/m, No. 12
D(E_F): 0.70 states/eV per atom
ΔH_f (0 K): -0.142 eV per atom
Distance to the lowest polymorph of the same formula: 34 meV/atom

abc: 2.987 4.981 6.779
angles: 99.73 90.00 107.45
Fractional positions:
Ta 0.064 0.128 0.735
Ta 0.936 0.872 0.265
Cr 0.346 0.692 0.546
Cr 0.654 0.308 0.454
Pt 0.189 0.377 0.139
Pt 0.811 0.623 0.861


14.
# TaCr2Pt

A relaxed TaCr2Pt crystal (PBE-GGA, Alexandria via LeMat-Bulk).

Space-group type: F-43m, No. 216
D(E_F): 1.08 states/eV per atom
ΔH_f (0 K): -0.064 eV per atom
Distance to the lowest polymorph of the same formula: 106 meV/atom

abc: 4.390 4.390 4.390
angles: 60.00 60.00 60.00
Fractional positions:
Cr 0.000 0.000 0.000
Cr 0.250 0.250 0.250
Pt 0.500 0.500 0.500
Ta 0.750 0.750 0.750


15.
# TaCr2Pt

A relaxed TaCr2Pt crystal (PBE-GGA, Alexandria via LeMat-Bulk).

Space-group type: P4/mmm, No. 123
D(E_F): 1.30 states/eV per atom
ΔH_f (0 K): -0.093 eV per atom
Distance to the lowest polymorph of the same formula: 78 meV/atom

abc: 3.996 3.996 3.693
angles: 90.00 90.00 90.00
Fractional positions:
Cr 0.000 0.000 0.000
Cr 0.500 0.500 0.000
Pt 0.500 0.000 0.500
Ta 0.000 0.500 0.500


16.
# TaCr2Pt

A relaxed TaCr2Pt crystal (PBE-GGA, Alexandria via LeMat-Bulk).

Space-group type: R-3m, No. 166
D(E_F): 1.23 states/eV per atom
ΔH_f (0 K): 0.257 eV per atom
Distance to the lowest polymorph of the same formula: 428 meV/atom

abc: 8.902 8.902 8.902
angles: 18.22 18.22 18.22
Fractional positions:
Cr 0.999 0.999 0.999
Cr 0.501 0.501 0.501
Pt 0.250 0.250 0.250
Ta 0.750 0.750 0.750


17.
# TaCr2Pt

A relaxed TaCr2Pt crystal (PBE-GGA, Alexandria via LeMat-Bulk).

Space-group type: I-4m2, No. 119
D(E_F): 0.92 states/eV per atom
ΔH_f (0 K): -0.139 eV per atom
Distance to the lowest polymorph of the same formula: 32 meV/atom

abc: 4.782 4.782 4.782
angles: 131.72 131.72 70.66
Fractional positions:
Cr 0.000 0.000 0.000
Cr 0.250 0.750 0.500
Pt 0.500 0.500 0.000
Ta 0.750 0.250 0.500


18.
# TaCr2Pt

A relaxed TaCr2Pt crystal (PBE-GGA, Alexandria via LeMat-Bulk).

Space-group type: R3m, No. 160
D(E_F): 1.12 states/eV per atom
ΔH_f (0 K): 0.112 eV per atom
Distance to the lowest polymorph of the same formula: 282 meV/atom

abc: 8.686 8.686 8.686
angles: 18.73 18.73 18.73
Fractional positions:
Cr 0.990 0.990 0.990
Cr 0.258 0.258 0.258
Pt 0.505 0.505 0.505
Ta 0.747 0.747 0.747


19.
# TaCr2Pt

A relaxed TaCr2Pt crystal (PBE-GGA, Alexandria via LeMat-Bulk).

Space-group type: P4/mmm, No. 123
D(E_F): 1.08 states/eV per atom
ΔH_f (0 K): 0.083 eV per atom
Distance to the lowest polymorph of the same formula: 254 meV/atom

abc: 2.659 2.659 8.226
angles: 90.00 90.00 90.00
Fractional positions:
Cr 0.000 0.000 0.015
Cr 0.000 0.000 0.485
Pt 0.500 0.500 0.250
Ta 0.500 0.500 0.750


20.
# TaCr2Pt

A relaxed TaCr2Pt crystal (PBE-GGA, Alexandria via LeMat-Bulk).

Space-group type: Cm, No. 8
D(E_F): 1.01 states/eV per atom
ΔH_f (0 K): 0.043 eV per atom
Distance to the lowest polymorph of the same formula: 214 meV/atom

abc: 4.728 4.728 4.814
angles: 82.45 82.45 32.92
Fractional positions:
Cr 0.995 0.995 0.025
Cr 0.244 0.244 0.236
Pt 0.506 0.506 0.492
Ta 0.755 0.755 0.747


21.
# TaCrPt

A relaxed TaCrPt crystal (PBE-GGA, Alexandria via LeMat-Bulk).

Space-group type: F-43m, No. 216
D(E_F): 0.76 states/eV per atom
ΔH_f (0 K): 0.307 eV per atom
Distance to the lowest polymorph of the same formula: 483 meV/atom

abc: 4.286 4.286 4.286
angles: 60.00 60.00 60.00
Fractional positions:
Cr 0.000 0.000 0.000
Pt 0.500 0.500 0.500
Ta 0.750 0.750 0.750


22.
# TaCrPt3

A relaxed TaCrPt3 crystal (PBE-GGA, Alexandria via LeMat-Bulk).

Space-group type: Pm-3m, No. 221
D(E_F): 0.72 states/eV per atom
ΔH_f (0 K): 0.932 eV per atom
Distance to the lowest polymorph of the same formula: 0 meV/atom

abc: 4.864 4.864 4.864
angles: 90.00 90.00 90.00
Fractional positions:
Cr 0.500 0.500 0.500
Pt 0.000 0.500 0.000
Pt 0.000 0.000 0.500
Pt 0.500 0.000 0.000
Ta 0.000 0.000 0.000


23.
# Ta2CrPt2

A relaxed Ta2CrPt2 crystal (PBE-GGA, Alexandria via LeMat-Bulk).

Space-group type: P4/mbm, No. 127
D(E_F): 1.19 states/eV per atom
ΔH_f (0 K): -0.107 eV per atom

abc: 6.677 6.677 3.780
angles: 90.00 90.00 90.00
Fractional positions:
Cr 0.000 0.000 0.000
Cr 0.500 0.500 0.000
Pt 0.363 0.863 0.000
Pt 0.863 0.637 0.000
Pt 0.637 0.137 0.000
Pt 0.137 0.363 0.000
Ta 0.173 0.673 0.500
Ta 0.673 0.827 0.500
Ta 0.827 0.327 0.500
Ta 0.327 0.173 0.500


24.
# TaCrPt

A relaxed TaCrPt crystal (PBE-GGA, Alexandria via LeMat-Bulk).

Space-group type: Fmm2, No. 42
D(E_F): 0.91 states/eV per atom
ΔH_f (0 K): -0.176 eV per atom
Distance to the lowest polymorph of the same formula: 0 meV/atom

abc: 6.387 6.353 2.741
angles: 78.26 76.89 24.85
Fractional positions:
Cr 0.008 0.008 0.992
Pt 0.656 0.656 0.344
Ta 0.336 0.336 0.664


25.
# TaCrPt

A relaxed TaCrPt crystal (PBE-GGA, Alexandria via LeMat-Bulk).

Space-group type: P3m1, No. 156
D(E_F): 0.88 states/eV per atom
ΔH_f (0 K): -0.044 eV per atom
Distance to the lowest polymorph of the same formula: 131 meV/atom

abc: 4.450 4.450 2.779
angles: 90.00 90.00 120.00
Fractional positions:
Cr 0.000 0.000 0.983
Pt 0.333 0.667 0.341
Ta 0.667 0.333 0.676


26.
# TaCr2Pt

A relaxed TaCr2Pt crystal (PBE-GGA, Alexandria via LeMat-Bulk).

Space-group type: C2/m, No. 12
D(E_F): 1.37 states/eV per atom
ΔH_f (0 K): 0.064 eV per atom
Distance to the lowest polymorph of the same formula: 235 meV/atom

abc: 5.104 5.104 2.665
angles: 79.53 79.53 116.93
Fractional positions:
Cr 0.000 0.000 0.000
Cr 0.500 0.500 0.000
Pt 0.500 0.000 0.500
Ta 0.000 0.500 0.500


27.
# TaCrPt

A relaxed TaCrPt crystal (PBE-GGA, Alexandria via LeMat-Bulk).

Space-group type: Imm2, No. 44
D(E_F): 1.29 states/eV per atom
ΔH_f (0 K): -0.171 eV per atom
Distance to the lowest polymorph of the same formula: 4 meV/atom

abc: 4.990 4.990 4.990
angles: 145.88 137.12 55.90
Fractional positions:
Cr 0.001 0.001 0.000
Pt 0.336 0.336 0.000
Ta 0.663 0.663 0.000


28.
# TaCr2Pt

A relaxed TaCr2Pt crystal (PBE-GGA, Alexandria via LeMat-Bulk).

Space-group type: I4/mmm, No. 139
D(E_F): 1.22 states/eV per atom
ΔH_f (0 K): -0.011 eV per atom
Distance to the lowest polymorph of the same formula: 159 meV/atom

abc: 4.793 4.793 4.793
angles: 133.03 133.03 68.60
Fractional positions:
Cr 0.000 0.000 0.000
Cr 0.500 0.500 0.000
Pt 0.250 0.750 0.500
Ta 0.750 0.250 0.500


29.
# TaCrPt

A relaxed TaCrPt crystal (PBE-GGA, Alexandria via LeMat-Bulk).

Space-group type: F-43m, No. 216
D(E_F): 0.76 states/eV per atom
ΔH_f (0 K): 0.207 eV per atom
Distance to the lowest polymorph of the same formula: 383 meV/atom

abc: 4.326 4.326 4.326
angles: 60.00 60.00 60.00
Fractional positions:
Cr 0.500 0.500 0.500
Pt 0.750 0.750 0.750
Ta 0.000 0.000 0.000